[1]
This record from OQMD describes a relaxed structure of Cu2Ag3. The functional is PBE.

Unit cell a=7.492 b=7.492 c=4.803 alpha=96.21 beta=96.21 gamma=141.95
Positions (direct):
1 Ag 0.000 0.000 0.000
2 Ag 0.897 0.103 0.500
3 Ag 0.699 0.301 0.500
4 Ag 0.301 0.699 0.500
5 Ag 0.103 0.897 0.500
6 Ag 0.500 0.500 0.500
7 Cu 0.205 0.795 0.000
8 Cu 0.395 0.605 0.000
9 Cu 0.605 0.395 0.000
10 Cu 0.795 0.205 0.000

Values from the calculation:
Excess energy over the best structure of this formula in the dataset, eV/atom: 0.074
Energy of formation from the pure elements, eV per atom: 0.1063
Symmetry: C2/m (12)



[2]
This record from OQMD describes a relaxed structure of Tl2AgMoBr6. The functional is PBE.

Unit cell a=7.630 b=7.630 c=7.630 alpha=60.00 beta=60.00 gamma=60.00
Positions (direct):
1 Br 0.759 0.241 0.759
2 Br 0.241 0.759 0.759
3 Br 0.759 0.759 0.241
4 Br 0.759 0.241 0.241
5 Br 0.241 0.759 0.241
6 Br 0.241 0.241 0.759
7 Mo 0.000 0.000 0.000
8 Ag 0.500 0.500 0.500
9 Tl 0.750 0.750 0.750
10 Tl 0.250 0.250 0.250

Values from the calculation:
Electronic total energy, eV/atom: -3.406
Symmetry: Fm-3m (225)



[3]
This record from OQMD describes a relaxed structure of RbGdFeTe3. The functional is PBE.

Unit cell a=16.972 b=4.314 c=11.715 alpha=90.00 beta=90.00 gamma=90.00
Positions (direct):
1 Te 0.125 0.750 0.229
2 Te 0.084 0.750 0.880
3 Te 0.375 0.250 0.729
4 Te 0.875 0.250 0.771
5 Te 0.401 0.750 0.078
6 Te 0.099 0.250 0.578
7 Te 0.599 0.250 0.922
8 Te 0.416 0.250 0.380
9 Te 0.625 0.750 0.271
10 Te 0.901 0.750 0.422
11 Te 0.584 0.750 0.620
12 Te 0.916 0.250 0.120
13 Fe 0.991 0.250 0.924
14 Fe 0.491 0.250 0.576
15 Fe 0.009 0.750 0.076
16 Fe 0.509 0.750 0.424
17 Rb 0.736 0.250 0.481
18 Rb 0.236 0.250 0.019
19 Rb 0.764 0.750 0.981
20 Rb 0.264 0.750 0.519
21 Gd 0.020 0.250 0.344
22 Gd 0.480 0.750 0.844
23 Gd 0.980 0.750 0.656
24 Gd 0.520 0.250 0.156

Values from the calculation:
Excess energy over the best structure of this formula in the dataset, eV/atom: 0.000
Symmetry: Pnma (62)



[4]
This record from OQMD describes a relaxed structure of DyAuSO. The functional is PBE.

Unit cell a=5.506 b=9.085 c=5.507 alpha=90.00 beta=90.00 gamma=90.00
Positions (direct):
1 O 0.500 0.000 0.250
2 O 0.000 0.000 0.750
3 O 0.500 0.000 0.750
4 O 0.000 0.000 0.250
5 Dy 0.750 0.124 0.000
6 Dy 0.250 0.876 0.000
7 Dy 0.750 0.876 0.500
8 Dy 0.250 0.124 0.500
9 S 0.750 0.284 0.500
10 S 0.250 0.284 0.000
11 S 0.750 0.716 0.000
12 S 0.250 0.716 0.500
13 Au 0.500 0.500 0.750
14 Au 0.000 0.500 0.250
15 Au 0.500 0.500 0.250
16 Au 0.000 0.500 0.750

Values from the calculation:
Excess energy over the best structure of this formula in the dataset, eV/atom: 0.166
Symmetry: P4/nmm (129)



[5]
This record from OQMD describes a relaxed structure of Pm2SbO. The functional is PBE.

Unit cell a=4.142 b=4.142 c=5.865 alpha=90.00 beta=90.00 gamma=90.00
Positions (direct):
1 Sb 0.500 0.500 0.000
2 O 0.000 0.000 0.500
3 Pm 0.000 0.000 0.000
4 Pm 0.500 0.500 0.500

Values from the calculation:
Electronic total energy, eV/atom: -6.011
Symmetry: P4/mmm (123)



[6]
This record from OQMD describes a relaxed structure of Pr2SmZn2Si4Pd2. The functional is PBE.

Unit cell a=12.904 b=12.904 c=12.904 alpha=161.64 beta=161.08 gamma=26.48
Positions (direct):
1 Si 0.453 0.453 0.000
2 Si 0.809 0.309 0.500
3 Si 0.191 0.691 0.500
4 Si 0.547 0.547 0.000
5 Zn 0.750 0.750 0.000
6 Zn 0.250 0.250 0.000
7 Pd 0.094 0.594 0.500
8 Pd 0.906 0.406 0.500
9 Sm 0.000 0.000 0.000
10 Pr 0.646 0.146 0.500
11 Pr 0.354 0.854 0.500

Values from the calculation:
Electronic total energy, eV/atom: -5.196
Symmetry: Immm (71)



[7]
This record from OQMD describes a relaxed structure of TbInHg3Se4. The functional is PBE.

Unit cell a=7.205 b=7.703 c=10.167 alpha=90.00 beta=110.26 gamma=90.00
Positions (direct):
1 Hg 0.319 0.568 0.582
2 Hg 0.698 0.750 0.010
3 Hg 0.681 0.068 0.418
4 Hg 0.302 0.250 0.990
5 Hg 0.319 0.932 0.582
6 Hg 0.681 0.432 0.418
7 In 0.894 0.250 0.889
8 In 0.106 0.750 0.111
9 Tb 0.023 0.250 0.328
10 Tb 0.977 0.750 0.672
11 Se 0.827 0.750 0.377
12 Se 0.173 0.250 0.623
13 Se 0.731 0.994 0.717
14 Se 0.731 0.506 0.717
15 Se 0.297 0.750 0.928
16 Se 0.703 0.250 0.072
17 Se 0.269 0.006 0.283
18 Se 0.269 0.494 0.283

Values from the calculation:
Excess energy over the best structure of this formula in the dataset, eV/atom: 0.000
Symmetry: P2_1/m (11)



[8]
This record from OQMD describes a relaxed structure of NbCdGaFe. The functional is PBE.

Unit cell a=4.519 b=4.519 c=4.519 alpha=60.00 beta=60.00 gamma=60.00
Positions (direct):
1 Nb 0.250 0.250 0.250
2 Fe 0.750 0.750 0.750
3 Ga 0.000 0.000 0.000
4 Cd 0.500 0.500 0.500

Values from the calculation:
Excess energy over the best structure of this formula in the dataset, eV/atom: 0.040
Symmetry: F-43m (216)



[9]
This record from OQMD describes a relaxed structure of SmHfPt. The functional is PBE.

Unit cell a=4.679 b=4.679 c=4.679 alpha=60.00 beta=60.00 gamma=60.00
Positions (direct):
1 Sm 0.000 0.000 0.000
2 Pt 0.750 0.750 0.750
3 Hf 0.250 0.250 0.250

Values from the calculation:
Excess energy over the best structure of this formula in the dataset, eV/atom: 1.246
Energy of formation from the pure elements, eV per atom: 0.3916
Symmetry: F-43m (216)



[10]
This record from OQMD describes a relaxed structure of Cs3RbAu. The functional is PBE.

Unit cell a=7.290 b=8.966 c=13.663 alpha=89.72 beta=74.59 gamma=66.02
Positions (direct):
1 Cs 0.704 0.783 0.347
2 Cs 0.579 0.651 0.727
3 Cs 0.456 0.530 0.097
4 Cs 0.815 0.920 0.987
5 Cs 0.943 0.047 0.604
6 Cs 0.191 0.294 0.861
7 Au 0.946 0.539 0.107
8 Au 0.703 0.282 0.849
9 Rb 0.330 0.407 0.469
10 Rb 0.063 0.181 0.231

Values from the calculation:
Excess energy over the best structure of this formula in the dataset, eV/atom: 0.008
Symmetry: P1 (1)



[11]
This record from OQMD describes a relaxed structure of Pr2Dy2CI2Br3. The functional is PBE.

Unit cell a=9.604 b=9.604 c=8.560 alpha=101.08 beta=101.08 gamma=23.91
Positions (direct):
1 Pr 0.003 0.003 0.795
2 Pr 0.997 0.997 0.205
3 I 0.831 0.831 0.665
4 I 0.169 0.169 0.335
5 Br 0.171 0.171 0.847
6 Br 0.500 0.500 0.500
7 Br 0.829 0.829 0.153
8 Dy 0.631 0.631 0.061
9 Dy 0.369 0.369 0.939
10 C 0.500 0.500 0.000

Values from the calculation:
Excess energy over the best structure of this formula in the dataset, eV/atom: 0.006
Symmetry: C2/m (12)



[12]
This record from OQMD describes a relaxed structure of NiBiPtW. The functional is PBE.

Unit cell a=4.635 b=4.635 c=4.635 alpha=60.00 beta=60.00 gamma=60.00
Positions (direct):
1 Ni 0.750 0.750 0.750
2 Pt 0.250 0.250 0.250
3 Bi 0.000 0.000 0.000
4 W 0.500 0.500 0.500

Values from the calculation:
Electronic total energy, eV/atom: -6.553
Symmetry: F-43m (216)